SrMnO3 (PBE with a Hubbard U, relaxed); crystal system = cubic; E_tot = -6.8309 eV/atom
1.0
-3.403 -1.883 0.113
1.579 -2.714 2.300
2.370 3.936 3.018
Sr Mn O
1 1 3
Cartesian
0.426 -1.950 3.944 Sr
-1.549 -2.561 1.285 Mn
0.153 -1.619 1.229 O
-0.760 -3.918 2.435 O
1.338 0.349 2.738 O